Entry from Alexandria via LeMat-Bulk: crystalline V2TcH2 at its relaxed geometry (PBE).

Geometry as extended XYZ:
```
5
Lattice="-1.284 0.660 2.591 -2.671 -0.418 -1.218 -1.807 -5.022 2.080" Properties=species:S:1:pos:R:3 pbc="T T T"
H -2.535 -2.121 2.679
H -3.228 -2.660 0.774
Tc 0.000 0.000 0.000
V -1.928 -1.371 1.091
V -3.835 -3.410 2.362
```

Excess energy over the best structure of this formula in the dataset ... 0 meV/atom
ρ ... 7.15 g cm⁻³
Raw total energy ... -7.24 eV/atom



Entry from Alexandria via LeMat-Bulk: crystalline V2TcH2 at its relaxed geometry (PBE).

Geometry as extended XYZ:
```
10
Lattice="-1.385 -2.935 -4.669 1.037 -4.867 2.751 -2.791 -0.094 0.886" Properties=species:S:1:pos:R:3 pbc="T T T"
H 0.399 -5.125 0.714
H -0.490 -5.668 -2.143
H -0.746 -2.677 -2.632
H 0.143 -2.134 0.225
Tc 0.000 0.000 0.000
Tc -0.174 -3.901 -0.959
V -0.932 -3.732 1.511
V -1.439 -6.071 -0.331
V -2.206 -4.163 -2.543
V -1.699 -1.824 -0.700
```

Excess energy over the best structure of this formula in the dataset ... 354 meV/atom
ρ ... 7.08 g cm⁻³
Raw total energy ... -6.89 eV/atom



Entry from Alexandria via LeMat-Bulk: crystalline VTc2H2 at its relaxed geometry (PBE).

Geometry as extended XYZ:
```
10
Lattice="-4.728 -2.406 2.023 2.840 -4.836 0.886 0.715 0.928 2.774" Properties=species:S:1:pos:R:3 pbc="T T T"
H 0.849 -4.609 1.323
H -1.814 -5.304 2.242
H -2.736 -2.633 1.586
H -0.074 -1.938 0.667
Tc 1.483 -3.085 2.285
Tc -0.348 -5.195 3.462
Tc -2.655 -3.229 3.399
Tc -0.824 -1.119 2.221
V 0.000 0.000 0.000
V -0.944 -3.621 1.455
```

Excess energy over the best structure of this formula in the dataset ... 108 meV/atom
ρ ... 8.52 g cm⁻³
Raw total energy ... -7.20 eV/atom



Entry from Alexandria via LeMat-Bulk: crystalline VZnTc2H at its relaxed geometry (PBE).

Geometry as extended XYZ:
```
5
Lattice="3.956 0.000 0.000 0.000 3.956 0.000 0.000 0.000 3.733" Properties=species:S:1:pos:R:3 pbc="T T T"
H 0.000 0.000 0.000
Zn 1.978 1.978 1.867
Tc 0.000 1.978 0.000
Tc 1.978 0.000 0.000
V 0.000 0.000 1.867
```

ρ ... 8.91 g cm⁻³
Raw total energy ... -6.87 eV/atom



Entry from Alexandria via LeMat-Bulk: crystalline V2ZnTcH at its relaxed geometry (PBE).

Geometry as extended XYZ:
```
5
Lattice="-0.068 -3.834 -0.242 3.112 -0.197 2.244 -2.267 -0.158 3.130" Properties=species:S:1:pos:R:3 pbc="T T T"
H 0.000 0.000 0.000
Zn 0.389 -2.094 2.566
Tc -1.134 -0.079 1.565
V 1.556 -0.098 1.122
V -0.034 -1.917 -0.121
```

ρ ... 7.74 g cm⁻³
Raw total energy ... -6.71 eV/atom



Entry from Alexandria via LeMat-Bulk: crystalline Tc2H2W at its relaxed geometry (PBE).

Geometry as extended XYZ:
```
5
Lattice="2.918 0.000 0.000 0.000 2.918 0.000 1.459 1.459 6.034" Properties=species:S:1:pos:R:3 pbc="T T T"
H 2.918 1.459 3.017
H 1.459 2.918 3.017
Tc 1.459 1.459 1.801
Tc 2.918 2.918 4.233
W 0.000 0.000 0.000
```

Excess energy over the best structure of this formula in the dataset ... 0 meV/atom
ρ ... 12.35 g cm⁻³
Raw total energy ... -7.96 eV/atom



Entry from Alexandria via LeMat-Bulk: crystalline TcHW3 at its relaxed geometry (PBE).

Geometry as extended XYZ:
```
5
Lattice="4.717 0.000 0.000 0.000 4.717 0.000 0.000 0.000 4.717" Properties=species:S:1:pos:R:3 pbc="T T T"
H 2.358 2.358 2.358
Tc 0.000 0.000 0.000
W 0.000 2.358 0.000
W 0.000 0.000 2.358
W 2.358 0.000 0.000
```

Excess energy over the best structure of this formula in the dataset ... 2379 meV/atom
ρ ... 10.29 g cm⁻³
Raw total energy ... -7.86 eV/atom



Entry from Alexandria via LeMat-Bulk: crystalline Tc2H2W at its relaxed geometry (PBE).

Geometry as extended XYZ:
```
10
Lattice="-4.231 -3.560 2.248 4.110 -2.801 3.301 -0.452 1.923 2.194" Properties=species:S:1:pos:R:3 pbc="T T T"
H 2.020 -3.243 3.257
H -0.422 -4.801 4.120
H -2.141 -3.118 2.291
H 0.300 -1.560 1.429
Tc 1.811 -1.349 3.541
Tc 0.575 -3.728 5.371
Tc -2.385 -3.089 4.201
Tc -1.148 -0.710 2.372
W 0.000 0.000 0.000
W -0.061 -3.180 2.774
```

Excess energy over the best structure of this formula in the dataset ... 184 meV/atom
ρ ... 12.06 g cm⁻³
Raw total energy ... -7.78 eV/atom



Entry from Alexandria via LeMat-Bulk: crystalline TcH3W at its relaxed geometry (PBE).

Geometry as extended XYZ:
```
5
Lattice="-2.656 -2.030 0.741 -0.501 -0.564 -3.340 2.102 -2.699 0.140" Properties=species:S:1:pos:R:3 pbc="T T T"
H -0.250 -0.282 -1.670
H 1.051 -1.349 0.070
H -1.328 -1.015 0.370
Tc 0.000 0.000 0.000
W -0.527 -2.646 -1.229
```

Excess energy over the best structure of this formula in the dataset ... 0 meV/atom
ρ ... 11.78 g cm⁻³
Raw total energy ... -6.08 eV/atom



Entry from Alexandria via LeMat-Bulk: crystalline TcHW at its relaxed geometry (PBE).

Geometry as extended XYZ:
```
6
Lattice="4.957 0.139 -0.028 -0.084 2.783 -0.584 0.822 -0.415 4.829" Properties=species:S:1:pos:R:3 pbc="T T T"
Tc 1.242 0.727 2.218
Tc 3.677 2.187 1.913
H 2.032 2.365 2.979
H 0.366 1.871 0.876
W 2.078 1.674 -0.313
W 5.362 -0.081 4.723
```

ρ ... 14.35 g cm⁻³
Raw total energy ... -8.76 eV/atom



Entry from Alexandria via LeMat-Bulk: crystalline TcH2W2 at its relaxed geometry (PBE).

Geometry as extended XYZ:
```
5
Lattice="2.914 0.000 0.000 0.000 2.914 0.000 1.457 1.457 6.189" Properties=species:S:1:pos:R:3 pbc="T T T"
H 2.914 1.457 3.094
H 1.457 2.914 3.094
Tc 0.000 0.000 0.000
W 1.457 1.457 1.798
W 2.914 2.914 4.391
```

Excess energy over the best structure of this formula in the dataset ... 0 meV/atom
ρ ... 14.78 g cm⁻³
Raw total energy ... -8.43 eV/atom



Entry from Alexandria via LeMat-Bulk: crystalline TcH2W2 at its relaxed geometry (PBE).

Geometry as extended XYZ:
```
10
Lattice="-0.172 1.541 5.786 1.608 -5.564 1.529 2.880 0.797 -0.127" Properties=species:S:1:pos:R:3 pbc="T T T"
H 1.238 -3.999 2.977
H 0.984 -2.645 5.710
H 0.198 -0.024 4.338
H 0.452 -1.379 1.605
Tc 0.000 0.000 0.000
Tc 0.718 -2.012 3.658
W 2.467 -3.008 1.837
W 2.686 -3.292 5.020
W 1.849 -0.218 5.352
W 1.630 0.066 2.169
```

Excess energy over the best structure of this formula in the dataset ... 251 meV/atom
ρ ... 14.47 g cm⁻³
Raw total energy ... -8.18 eV/atom



Entry from Alexandria via LeMat-Bulk: crystalline TcH3W at its relaxed geometry (PBE).

Geometry as extended XYZ:
```
5
Lattice="3.488 0.000 0.000 0.000 3.488 0.000 0.000 0.000 3.488" Properties=species:S:1:pos:R:3 pbc="T T T"
H 0.000 1.744 0.000
H 0.000 0.000 1.744
H 1.744 0.000 0.000
Tc 1.744 1.744 1.744
W 0.000 0.000 0.000
```

Excess energy over the best structure of this formula in the dataset ... 78 meV/atom
ρ ... 11.15 g cm⁻³
Raw total energy ... -6.00 eV/atom



Entry from Alexandria via LeMat-Bulk: crystalline TcHW3 at its relaxed geometry (PBE).

Geometry as extended XYZ:
```
5
Lattice="4.035 0.000 0.000 0.000 4.035 0.000 0.000 0.000 4.035" Properties=species:S:1:pos:R:3 pbc="T T T"
H 0.000 0.000 0.000
Tc 2.017 2.017 2.017
W 0.000 2.017 0.000
W 0.000 0.000 2.017
W 2.017 0.000 0.000
```

Excess energy over the best structure of this formula in the dataset ... 0 meV/atom
ρ ... 16.45 g cm⁻³
Raw total energy ... -10.24 eV/atom



Entry from Alexandria via LeMat-Bulk: crystalline YTcHW2 at its relaxed geometry (PBE).

Geometry as extended XYZ:
```
5
Lattice="5.010 0.000 0.000 0.000 3.409 0.000 0.000 0.000 5.010" Properties=species:S:1:pos:R:3 pbc="T T T"
Y 2.505 1.704 2.505
H 0.000 1.704 0.000
Tc 0.000 0.000 0.000
W 0.000 0.000 2.505
W 2.505 0.000 0.000
```

ρ ... 10.78 g cm⁻³
Raw total energy ... -8.16 eV/atom



Entry from Alexandria via LeMat-Bulk: crystalline Y2TcH6 at its relaxed geometry (PBE).

Geometry as extended XYZ:
```
9
Lattice="5.025 0.000 0.000 2.513 4.352 0.000 2.513 1.451 4.103" Properties=species:S:1:pos:R:3 pbc="T T T"
Y 2.513 1.451 1.026
Y 7.538 4.352 3.077
Tc 0.000 0.000 0.000
H 5.025 4.348 3.074
H 3.773 3.624 1.029
H 6.278 2.178 3.074
H 5.025 1.455 1.029
H 6.278 3.624 1.029
H 3.773 2.178 3.074
```

ρ ... 5.22 g cm⁻³
Raw total energy ... -5.37 eV/atom



Entry from Alexandria via LeMat-Bulk: crystalline YTcH5 at its relaxed geometry (PBE).

Geometry as extended XYZ:
```
7
Lattice="3.403 0.000 1.520 1.132 4.184 2.034 -0.095 -0.223 4.782" Properties=species:S:1:pos:R:3 pbc="T T T"
Y 4.218 3.960 8.237
Tc 2.086 1.980 4.108
H 3.257 1.130 3.267
H 3.746 1.980 4.849
H 2.241 2.831 5.542
H 1.618 0.574 4.951
H 2.402 3.387 3.197
```

ρ ... 4.56 g cm⁻³
Raw total energy ... -4.90 eV/atom



Entry from Alexandria via LeMat-Bulk: crystalline YTc3H at its relaxed geometry (PBE).

Geometry as extended XYZ:
```
5
Lattice="5.122 0.000 0.000 0.000 5.122 0.000 0.000 0.000 5.122" Properties=species:S:1:pos:R:3 pbc="T T T"
Y 0.000 0.000 0.000
H 2.561 2.561 2.561
Tc 0.000 2.561 0.000
Tc 0.000 0.000 2.561
Tc 2.561 0.000 0.000
```

Excess energy over the best structure of this formula in the dataset ... 2673 meV/atom
ρ ... 4.74 g cm⁻³
Raw total energy ... -5.19 eV/atom



Entry from Alexandria via LeMat-Bulk: crystalline YTcH2 at its relaxed geometry (PBE).

Geometry as extended XYZ:
```
8
Lattice="-1.054 -4.053 0.932 3.214 -1.404 -2.472 4.328 -2.617 3.388" Properties=species:S:1:pos:R:3 pbc="T T T"
Y 1.080 -2.729 -0.770
Y 4.310 -3.375 0.073
H 0.722 -3.760 1.212
H 3.062 -1.642 -0.673
H 3.741 -3.872 2.206
H 5.450 -6.876 0.951
Tc 0.000 0.000 0.000
Tc 2.177 -4.700 1.775
```

Excess energy over the best structure of this formula in the dataset ... 0 meV/atom
ρ ... 6.46 g cm⁻³
Raw total energy ... -6.01 eV/atom



Entry from Alexandria via LeMat-Bulk: crystalline YTc2H at its relaxed geometry (PBE).

Geometry as extended XYZ:
```
4
Lattice="0.614 -3.521 -2.701 -3.041 -3.287 -0.122 -2.588 -0.525 -3.619" Properties=species:S:1:pos:R:3 pbc="T T T"
Y -2.508 -3.666 -3.221
H 0.000 0.000 0.000
Tc -1.254 -1.833 -1.611
Tc -3.761 -5.500 -4.832
```

Excess energy over the best structure of this formula in the dataset ... 1264 meV/atom
ρ ... 7.47 g cm⁻³
Raw total energy ... -6.32 eV/atom



Number 1: D(E_F) 0.581 states/eV/atom. Number 2: D(E_F) 0.980 states/eV/atom. Number 3: D(E_F) 0.875 states/eV/atom. Number 4: D(E_F) 0.792 states/eV/atom. Number 5: D(E_F) 0.721 states/eV/atom. Number 6: D(E_F) 0.844 states/eV/atom. Number 7: D(E_F) 1.426 states/eV/atom. Number 8: D(E_F) 0.680 states/eV/atom. Number 9: D(E_F) 0.864 states/eV/atom. Number 10: D(E_F) 0.681 states/eV/atom. Number 11: D(E_F) 0.704 states/eV/atom. Number 12: D(E_F) 0.442 states/eV/atom. Number 13: D(E_F) 0.391 states/eV/atom. Number 14: D(E_F) 0.936 states/eV/atom. Number 15: D(E_F) 1.245 states/eV/atom. Number 16: D(E_F) 0.482 states/eV/atom. Number 17: D(E_F) 0.352 states/eV/atom. Number 18: D(E_F) 1.470 states/eV/atom. Number 19: D(E_F) 0.403 states/eV/atom. Number 20: D(E_F) 1.014 states/eV/atom.